Entry 1:
## AlVPb2 (PBE)

Data for a relaxed structure of AlVPb2.

```
4
Lattice="-3.184 3.425 2.032 -1.837 3.792 -2.872 -4.917 0.024 -1.349" Properties=species:S:1:pos:R:3 pbc="T T T"
Pb -2.485 1.810 -0.547
Pb -7.454 5.431 -1.642
Al 0.000 0.000 0.000
V -4.969 3.621 -1.094
```

Calculated values
**Energy of formation from the pure elements**: 0.5050 eV per atom
**Raw total energy**: -18.26 eV for the cell shown
**N(E_F)**: 3.7 states/eV per cell
**Size of the total moment**: 3.55 μB/cell
**Distance to the lowest polymorph of the same formula**: 0.00 eV/f.u.



Entry 2:
## AlV2Pb (PBE)

Data for a relaxed structure of AlV2Pb.

```
8
Lattice="-0.583 -0.719 3.814 -3.288 -1.956 -0.871 3.163 -9.563 0.700" Properties=species:S:1:pos:R:3 pbc="T T T"
V 0.036 -3.059 2.317
V -1.358 -3.728 0.240
V -0.901 -9.445 3.130
V 0.806 -8.243 1.598
Pb 0.322 -5.809 2.993
Pb 0.000 0.000 0.000
Al -1.936 -1.338 1.471
Al -1.031 -6.428 0.650
```

Calculated values
**Energy of formation from the pure elements**: 0.6882 eV per atom
**Raw total energy**: -45.87 eV for the cell shown
**N(E_F)**: 10.6 states/eV per cell
**Size of the total moment**: 0.96 μB/cell



Entry 3:
## AlVPb3 (PBE)

Data for a relaxed structure of AlVPb3.

```
5
Lattice="-0.559 -4.249 3.126 3.242 2.203 3.575 -4.162 2.287 2.364" Properties=species:S:1:pos:R:3 pbc="T T T"
Pb -0.280 -2.125 1.563
Pb -2.081 1.144 1.182
Pb 1.621 1.102 1.787
Al -0.740 0.121 4.533
V 0.000 0.000 0.000
```

Calculated values
**Energy of formation from the pure elements**: 0.5245 eV per atom
**Raw total energy**: -21.36 eV for the cell shown
**N(E_F)**: 2.2 states/eV per cell
**Size of the total moment**: 0.48 μB/cell
**Distance to the lowest polymorph of the same formula**: 0.00 eV/f.u.



Entry 4:
## AlVPb3 (PBE)

Data for a relaxed structure of AlVPb3.

```
5
Lattice="-3.693 0.917 -3.817 2.019 -4.051 -2.926 -3.366 -3.435 2.432" Properties=species:S:1:pos:R:3 pbc="T T T"
V -2.520 -3.285 -2.155
Al 0.000 0.000 0.000
Pb -1.846 0.458 -1.908
Pb 1.009 -2.025 -1.463
Pb -1.683 -1.717 1.216
```

Calculated values
**Energy of formation from the pure elements**: 0.9209 eV per atom
**Raw total energy**: -19.38 eV for the cell shown
**N(E_F)**: 9.8 states/eV per cell
**Size of the total moment**: 3.82 μB/cell
**Distance to the lowest polymorph of the same formula**: 1.98 eV/f.u.



Entry 5:
## Al3VPb (PBE)

Data for a relaxed structure of Al3VPb.

```
5
Lattice="-3.767 0.063 -3.102 2.969 -1.342 -3.632 -0.900 -4.691 0.998" Properties=species:S:1:pos:R:3 pbc="T T T"
Al 1.484 -0.671 -1.816
Al -1.883 0.031 -1.551
Al -0.450 -2.345 0.499
Pb -0.849 -2.985 -2.868
V 0.000 0.000 0.000
```

Calculated values
**Energy of formation from the pure elements**: 0.5282 eV per atom
**Raw total energy**: -21.41 eV for the cell shown
**N(E_F)**: 3.2 states/eV per cell
**Size of the total moment**: 0.00 μB/cell
**Distance to the lowest polymorph of the same formula**: 0.00 eV/f.u.



Entry 6:
## AlV2ZnPb (PBE)

Data for a relaxed structure of AlV2ZnPb.

```
5
Lattice="-0.962 -1.034 4.589 4.594 -2.137 0.482 1.828 4.233 1.337" Properties=species:S:1:pos:R:3 pbc="T T T"
Zn 0.000 0.000 0.000
V -0.481 -0.517 2.294
V 0.914 2.116 0.668
Pb 2.297 -1.068 0.241
Al 2.731 0.531 3.203
```

Calculated values
**Energy of formation from the pure elements**: 1.1631 eV per atom
**Raw total energy**: -21.15 eV for the cell shown
**N(E_F)**: 6.8 states/eV per cell
**Size of the total moment**: 5.74 μB/cell



Entry 7:
## Al2PbW (PBE)

Data for a relaxed structure of Al2PbW.

```
4
Lattice="3.064 0.000 0.000 0.000 3.844 0.000 0.000 0.000 6.566" Properties=species:S:1:pos:R:3 pbc="T T T"
Pb 0.000 0.000 3.329
W 1.532 1.922 5.313
Al 1.532 1.922 1.355
Al 0.000 0.000 6.418
```

Calculated values
**Energy of formation from the pure elements**: 0.4622 eV per atom
**Raw total energy**: -22.30 eV for the cell shown
**N(E_F)**: 2.4 states/eV per cell
**Size of the total moment**: 0.00 μB/cell
**Distance to the lowest polymorph of the same formula**: 0.68 eV/f.u.



Entry 8:
## AlPb2W (PBE)

Data for a relaxed structure of AlPb2W.

```
4
Lattice="3.055 -0.005 0.000 -0.990 2.890 0.000 0.000 0.000 10.663" Properties=species:S:1:pos:R:3 pbc="T T T"
W 1.032 1.442 2.666
Pb 0.000 0.000 0.261
Pb 0.000 0.000 5.070
Al 1.032 1.442 7.997
```

Calculated values
**Energy of formation from the pure elements**: 0.7910 eV per atom
**Raw total energy**: -20.95 eV for the cell shown
**N(E_F)**: 2.1 states/eV per cell
**Size of the total moment**: 0.00 μB/cell
**Distance to the lowest polymorph of the same formula**: 1.34 eV/f.u.